# 1
VASP calculation (PBE) on a relaxed Rb3Pu3NbS8 crystal.

a = 7.943 Å, b = 7.944 Å, c = 9.079 Å
α = 115.96°, β = 90.00°, γ = 120.00°
Sites, in units of the cell vectors:
S1 0.251 0.035 0.319
S2 0.784 0.567 0.319
S3 0.784 0.035 0.319
S4 0.269 0.538 0.307
S5 0.731 0.462 0.693
S6 0.749 0.965 0.681
S7 0.216 0.965 0.681
S8 0.216 0.433 0.681
Pu1 0.500 0.500 0.500
Pu2 0.500 0.000 0.500
Pu3 0.000 0.500 0.500
Rb1 0.000 0.500 0.000
Rb2 0.500 0.500 0.000
Rb3 0.000 0.000 0.000
Nb1 0.000 0.000 0.500

- Crystal system: trigonal

# 2
VASP calculation (PBE) on a relaxed CdBi2Cl8 crystal.

a = 7.275 Å, b = 8.242 Å, c = 8.242 Å
α = 67.66°, β = 72.47°, γ = 72.47°
Sites, in units of the cell vectors:
Cl1 0.771 0.134 0.745
Cl2 0.771 0.745 0.134
Cl3 0.258 0.812 0.812
Cl4 0.168 0.329 0.329
Cl5 0.229 0.255 0.866
Cl6 0.742 0.188 0.188
Cl7 0.832 0.671 0.671
Cl8 0.229 0.866 0.255
Bi1 0.605 0.854 0.854
Bi2 0.395 0.146 0.146
Cd1 0.000 0.000 0.000

- Crystal system: monoclinic
- Relative energy among the computed polymorphs: 82.4 meV per atom

# 3
VASP calculation (PBE) on a relaxed Fe2AgBRh crystal.

a = 4.365 Å, b = 5.061 Å, c = 4.365 Å
α = 90.00°, β = 90.00°, γ = 90.00°
Sites, in units of the cell vectors:
Fe1 0.500 0.000 0.000
Fe2 0.000 0.000 0.500
Ag1 0.000 0.500 0.000
B1 0.500 0.500 0.500
Rh1 0.000 0.000 0.000

- Crystal system: tetragonal
- ΔE_f: 2.3042 eV/atom

# 4
VASP calculation (PBE) on a relaxed CsPbSe crystal.

a = 4.119 Å, b = 4.464 Å, c = 13.170 Å
α = 80.05°, β = 90.00°, γ = 89.99°
Sites, in units of the cell vectors:
Cs1 0.608 0.857 0.987
Cs2 0.608 0.705 0.285
Pb1 0.105 0.474 0.753
Pb2 0.604 0.050 0.604
Se1 0.105 0.583 0.540
Se2 0.108 0.283 0.132

- Crystal system: triclinic
- Relative energy among the computed polymorphs: 11.0 meV per atom

# 5
VASP calculation (PBE) on a relaxed BaTaIn crystal.

a = 5.388 Å, b = 5.388 Å, c = 3.286 Å
α = 90.00°, β = 90.00°, γ = 120.00°
Sites, in units of the cell vectors:
Ta1 0.333 0.667 0.500
In1 0.667 0.333 0.500
Ba1 0.000 0.000 0.000

- Crystal system: hexagonal
- Relative energy among the computed polymorphs: 213.4 meV per atom
- ΔE_f: 0.7680 eV/atom

# 6
VASP calculation (PBE) on a relaxed Nd8Ga3Br4Cl crystal.

a = 8.563 Å, b = 8.760 Å, c = 8.562 Å
α = 119.27°, β = 120.00°, γ = 90.00°
Sites, in units of the cell vectors:
Br1 0.000 0.000 0.500
Br2 0.000 0.000 0.000
Br3 0.500 0.000 0.500
Br4 0.500 0.000 0.000
Ga1 0.500 0.500 0.000
Ga2 0.000 0.500 0.500
Ga3 0.500 0.500 0.500
Nd1 0.243 0.718 0.485
Nd2 0.267 0.282 0.024
Nd3 0.243 0.718 0.976
Nd4 0.259 0.278 0.519
Nd5 0.733 0.718 0.976
Nd6 0.741 0.722 0.481
Nd7 0.757 0.282 0.024
Nd8 0.757 0.282 0.515
Cl1 0.000 0.500 0.000

- Crystal system: trigonal

# 7
VASP calculation (PBE) on a relaxed DyPuHf crystal.

a = 7.555 Å, b = 7.555 Å, c = 6.231 Å
α = 90.00°, β = 90.00°, γ = 90.00°
Sites, in units of the cell vectors:
Pu1 0.979 0.021 0.750
Pu2 0.521 0.521 0.500
Pu3 0.021 0.979 0.250
Pu4 0.479 0.479 0.000
Dy1 0.252 0.748 0.750
Dy2 0.748 0.252 0.250
Dy3 0.752 0.752 0.000
Dy4 0.248 0.248 0.500
Hf1 0.220 0.220 0.000
Hf2 0.720 0.280 0.750
Hf3 0.780 0.780 0.500
Hf4 0.280 0.720 0.250

- Crystal system: tetragonal
- Relative energy among the computed polymorphs: 721.5 meV per atom
- ΔE_f: 0.8836 eV/atom

# 8
VASP calculation (PBE) on a relaxed Pr5Co2I2 crystal.

a = 7.791 Å, b = 8.129 Å, c = 9.354 Å
α = 90.00°, β = 65.39°, γ = 90.00°
Sites, in units of the cell vectors:
Pr1 0.745 0.343 0.212
Pr2 0.542 0.843 0.212
Pr3 0.255 0.657 0.788
Pr4 0.755 0.843 0.788
Pr5 0.458 0.157 0.788
Pr6 0.042 0.657 0.212
Pr7 0.245 0.157 0.212
Pr8 0.000 0.000 0.000
Pr9 0.958 0.343 0.788
Pr10 0.500 0.500 0.000
I1 0.791 0.000 0.418
I2 0.209 0.000 0.582
I3 0.291 0.500 0.418
I4 0.709 0.500 0.582
Co1 0.351 0.869 0.000
Co2 0.649 0.131 0.000
Co3 0.851 0.631 0.000
Co4 0.149 0.369 0.000

- Crystal system: orthorhombic

# 9
VASP calculation (PBE) on a relaxed Sc4AlNi5 crystal.

a = 3.105 Å, b = 3.105 Å, c = 15.723 Å
α = 90.00°, β = 90.00°, γ = 90.00°
Sites, in units of the cell vectors:
Ni1 0.500 0.500 0.084
Ni2 0.500 0.500 0.916
Ni3 0.500 0.500 0.291
Ni4 0.500 0.500 0.500
Ni5 0.500 0.500 0.709
Al1 0.000 0.000 0.000
Sc1 0.000 0.000 0.811
Sc2 0.000 0.000 0.396
Sc3 0.000 0.000 0.189
Sc4 0.000 0.000 0.604

- Crystal system: tetragonal
- ΔE_f: -0.5207 eV/atom

# 10
VASP calculation (PBE) on a relaxed Pr5MgZn4 crystal.

a = 3.735 Å, b = 3.735 Å, c = 18.991 Å
α = 90.00°, β = 90.00°, γ = 90.00°
Sites, in units of the cell vectors:
Pr1 0.500 0.500 0.695
Pr2 0.500 0.500 0.305
Pr3 0.500 0.500 0.500
Pr4 0.500 0.500 0.886
Pr5 0.500 0.500 0.114
Zn1 0.000 0.000 0.206
Zn2 0.000 0.000 0.598
Zn3 0.000 0.000 0.402
Zn4 0.000 0.000 0.794
Mg1 0.000 0.000 0.000

- Crystal system: tetragonal
- ΔE_f: -0.2633 eV/atom

# 11
VASP calculation (PBE) on a relaxed Pa2Zn3O8 crystal.

a = 6.911 Å, b = 6.911 Å, c = 11.170 Å
α = 82.24°, β = 82.24°, γ = 49.27°
Sites, in units of the cell vectors:
Pa1 0.894 0.646 0.356
Pa2 0.646 0.894 0.856
Pa3 0.106 0.354 0.644
Pa4 0.354 0.106 0.144
O1 0.696 0.031 0.193
O2 0.304 0.969 0.807
O3 0.514 0.162 0.688
O4 0.063 0.075 0.593
O5 0.767 0.647 0.540
O6 0.925 0.937 0.907
O7 0.353 0.233 0.960
O8 0.647 0.767 0.040
O9 0.969 0.304 0.307
O10 0.937 0.925 0.407
O11 0.162 0.514 0.188
O12 0.486 0.838 0.312
O13 0.075 0.063 0.093
O14 0.233 0.353 0.460
O15 0.838 0.486 0.812
O16 0.031 0.696 0.693
Zn1 0.177 0.823 0.750
Zn2 0.198 0.981 0.427
Zn3 0.823 0.177 0.250
Zn4 0.019 0.802 0.073
Zn5 0.981 0.198 0.927
Zn6 0.802 0.019 0.573

- Crystal system: monoclinic

# 12
VASP calculation (PBE) on a relaxed Si3BiTe crystal.

a = 5.226 Å, b = 5.226 Å, c = 5.226 Å
α = 90.00°, β = 90.00°, γ = 90.00°
Sites, in units of the cell vectors:
Si1 0.000 0.000 0.500
Si2 0.000 0.500 0.000
Si3 0.500 0.000 0.000
Bi1 0.500 0.500 0.500
Te1 0.000 0.000 0.000

- Crystal system: cubic
- Relative energy among the computed polymorphs: 0.0 meV per atom

How do the records compare in mass density? In the order shown, they have 5.2, 3.2, 5.7, 5.8, 8.7, 6.2, 10.9, 6.6, 5.5, 6.2, 6.5, 4.9 g cm⁻³.
How do the records compare in final energy? In the order shown, they have -7.37, -3.02, -4.46, -3.25, -4.74, -4.49, -8.75, -5.01, -6.32, -3.32, -7.27, -3.47 eV/atom.